(1)
This record from Alexandria describes a relaxed K2NbTlF8 crystal. The functional is GGA-PBE.

The structure belongs to space group P-3m1 (No. 164); the cell edges are 5.3163, 5.3163 and 9.3505 Å and the angles 90.00°, 90.00° and 120.00°. The asymmetric unit holds K at (0.3333, 0.6667, 0.2118), Nb at (0.0000, 0.0000, 0.5000), Tl at (0.0000, 0.0000, 0.0000), F at (0.1664, 0.3328, 0.6259) and F at (0.3333, 0.6667, 0.9440).


(2)
This record from Alexandria describes a relaxed KNbTlF6 crystal. The functional is GGA-PBE.

The structure belongs to space group P-31c (No. 163); the cell edges are 6.6978, 6.6978 and 9.1558 Å and the angles 90.00°, 90.00° and 120.00°. The asymmetric unit holds K at (0.3333, 0.6667, 0.2500), Nb at (0.3333, 0.6667, 0.7500), Tl at (0.0000, 0.0000, 0.0000) and F at (0.0741, 0.4089, 0.6366).


(3)
This record from Alexandria describes a relaxed K5Nd2F12 crystal. The functional is GGA-PBE.

The structure belongs to space group C2/m (No. 12); the cell edges are 13.4708, 8.1580 and 6.8305 Å and the angles 90.00°, 96.27° and 90.00°. The asymmetric unit holds K at (0.0000, 0.0000, 0.0000), K at (0.1545, 0.5000, 0.0598), K at (0.2415, 0.0000, 0.4233), Nd at (0.0000, 0.2519, 0.5000), F at (0.0718, 0.5000, 0.3827), F at (0.0797, 0.0000, 0.6337), F at (0.1055, 0.1964, 0.2560) and F at (0.1310, 0.3147, 0.7451).


(4)
This record from Alexandria describes a relaxed KNd2F6 crystal. The functional is GGA-PBE.

The structure belongs to space group I4/mmm (No. 139); the cell edges are 4.1774, 4.1774 and 17.9197 Å and the angles 90.00°, 90.00° and 90.00°. The asymmetric unit holds K at (0.0000, 0.0000, 0.0000), Nd at (0.0000, 0.0000, 0.3374), F at (0.0000, 0.5000, 0.1039) and F at (0.0000, 0.5000, 0.2500).


(5)
This record from Alexandria describes a relaxed KNd2F7 crystal. The functional is GGA-PBE.

The structure belongs to space group I4/mmm (No. 139); the cell edges are 4.2335, 4.2335 and 17.1302 Å and the angles 90.00°, 90.00° and 90.00°. The asymmetric unit holds K at (0.0000, 0.0000, 0.0000), Nd at (0.0000, 0.0000, 0.3483), F at (0.0000, 0.0000, 0.5000), F at (0.0000, 0.5000, 0.1017) and F at (0.0000, 0.5000, 0.2500).


(6)
This record from Alexandria describes a relaxed KNd2F8 crystal. The functional is GGA-PBE.

The structure belongs to space group C2/m (No. 12); the cell edges are 15.2007, 3.8747 and 6.0776 Å and the angles 90.00°, 111.84° and 90.00°. The asymmetric unit holds K at (0.0000, 0.0000, 0.0000), Nd at (0.1807, 0.5000, 0.6866), F at (0.0379, 0.5000, 0.7413), F at (0.1076, 0.0000, 0.4667), F at (0.1837, 0.0000, 0.9524) and F at (0.2134, 0.5000, 0.3299).


(7)
This record from Alexandria describes a relaxed K5Nd3F12 crystal. The functional is GGA-PBE.

The structure belongs to space group Ia-3d (No. 230); the cell edges are 14.7533, 14.7533 and 14.7533 Å and the angles 90.00°, 90.00° and 90.00°. The asymmetric unit holds K at (0.0000, 0.0000, 0.0000), K at (0.0000, 0.2500, 0.3750), Nd at (0.0000, 0.2500, 0.1250) and F at (0.0186, 0.0944, 0.6487).


Energy readings, ordered: -5.11, -5.47, -5.13, -5.97, -6.13, -5.78, -5.16 eV/atom